No. 1
Below is a geometry-optimized Hf2ScAu2 structure, with properties calculated at the PBE level.

As for the energy of formation: -0.241 eV per atom. For the polymorph energy (0 for the lowest one), the calculation gives 19.7 kJ per mole of atoms.

The space group is P4/mbm (No. 127) and the conventional cell measures 7.874, 7.874 and 3.360 Å, with angles of 90.00, 90.00 and 90.00 degrees. The distinct sites, in fractional coordinates, are Hf at (0.163, 0.337, 0.000), Sc at (0.000, 0.000, 0.000) and Au at (0.135, 0.635, 0.500).

---

No. 2
Below is a geometry-optimized NaRePd structure, with properties calculated at the PBE level.

As for the energy of formation: 2.229 eV per atom. For the polymorph energy (0 for the lowest one), the calculation gives 191.4 kJ per mole of atoms.

The space group is P6_3/mmc (No. 194) and the conventional cell measures 5.3183, 5.3183 and 9.6078 Å, with angles of 90.00, 90.00 and 120.00 degrees. The distinct sites, in fractional coordinates, are Na at (0.3333, 0.6667, 0.2500), Re at (0.0000, 0.0000, 0.2500) and Pd at (0.0000, 0.0000, 0.0000).